(1)
VASP calculation (GGA-PBE) on an optimized crystal structure of SiGeC3.

Cell: 3.956 3.956 3.956 Å, 90.00 90.00 90.00°
Space group Pm-3m (No. 221)
Unique sites:
1 Si 0.000 0.000 0.000 x1
2 Ge 0.500 0.500 0.500 x1
3 C 0.000 0.500 0.500 x3

Calculated values
* energy relative to the lowest polymorph listed for this composition: 716 meV per atom
* formation energy (no corrections): 2.76 eV/atom
* electronic total energy: -23.92 eV/cell
* N(E_F): 2.5 states/eV/cell
* calculated density: 3.7 g cm⁻³

***

(2)
VASP calculation (GGA-PBE) on an optimized crystal structure of SiGeC2.

Cell: 5.507 5.507 5.507 Å, 90.00 90.00 90.00°
Space group Fm-3m (No. 225)
Unique sites:
1 Si 0.000 0.000 0.000 x4
2 Ge 0.000 0.000 0.500 x4
3 C 0.250 0.250 0.250 x8

Calculated values
* energy relative to the lowest polymorph listed for this composition: 1912 meV per atom
* formation energy (no corrections): 2.05 eV/atom
* electronic total energy: -81.11 eV/cell
* N(E_F): 6.3 states/eV/cell
* calculated density: 5.0 g cm⁻³

***

(3)
VASP calculation (GGA-PBE) on an optimized crystal structure of Si3GeC.

Cell: 4.113 4.113 4.113 Å, 90.00 90.00 90.00°
Space group Pm-3m (No. 221)
Unique sites:
1 Si 0.000 0.000 0.500 x3
2 Ge 0.500 0.500 0.500 x1
3 C 0.000 0.000 0.000 x1

Calculated values
* energy relative to the lowest polymorph listed for this composition: 0 meV per atom
* formation energy (no corrections): 0.91 eV/atom
* electronic total energy: -25.54 eV/cell
* N(E_F): 2.9 states/eV/cell
* calculated density: 4.0 g cm⁻³

***

(4)
VASP calculation (GGA-PBE) on an optimized crystal structure of SiGeC.

Cell: 3.027 3.211 4.679 Å, 90.00 108.52 90.00°
Space group Pm (No. 6)
Unique sites:
1 Si 0.000 0.000 0.000 x1
2 Ge 0.762 0.500 0.536 x1
3 C 0.617 0.000 0.237 x1

Calculated values
* energy relative to the lowest polymorph listed for this composition: 318 meV per atom
* formation energy (no corrections): 0.58 eV/atom
* electronic total energy: -17.53 eV/cell
* N(E_F): 1.1 states/eV/cell
* calculated density: 4.3 g cm⁻³

***

(5)
VASP calculation (GGA-PBE) on an optimized crystal structure of SiGeC3.

Cell: 3.813 3.813 3.813 Å, 90.00 90.00 90.00°
Space group Pm-3m (No. 221)
Unique sites:
1 Si 0.000 0.000 0.000 x1
2 Ge 0.500 0.500 0.500 x1
3 C 0.000 0.000 0.500 x3

Calculated values
* energy relative to the lowest polymorph listed for this composition: 0 meV per atom
* formation energy (no corrections): 2.04 eV/atom
* electronic total energy: -27.50 eV/cell
* N(E_F): 2.1 states/eV/cell
* calculated density: 4.1 g cm⁻³

***

(6)
VASP calculation (GGA-PBE) on an optimized crystal structure of Si2GeC.

Cell: 5.997 5.997 5.997 Å, 90.00 90.00 90.00°
Space group Fm-3m (No. 225)
Unique sites:
1 Si 0.250 0.250 0.250 x8
2 Ge 0.000 0.000 0.000 x4
3 C 0.000 0.000 0.500 x4

Calculated values
* energy relative to the lowest polymorph listed for this composition: 1341 meV per atom
* formation energy (no corrections): 1.50 eV/atom
* electronic total energy: -74.75 eV/cell
* N(E_F): 9.1 states/eV/cell
* calculated density: 4.3 g cm⁻³

***

(7)
VASP calculation (GGA-PBE) on an optimized crystal structure of SiGeC.

Cell: 3.115 4.156 3.277 Å, 90.00 108.92 90.00°
Space group P2 (No. 3)
Unique sites:
1 Si 0.000 0.000 0.000 x1
2 Ge 0.500 0.579 0.500 x1
3 C 0.500 0.263 0.000 x1

Calculated values
* energy relative to the lowest polymorph listed for this composition: 348 meV per atom
* formation energy (no corrections): 0.61 eV/atom
* electronic total energy: -17.44 eV/cell
* N(E_F): 0.7 states/eV/cell
* calculated density: 4.7 g cm⁻³

***

(8)
VASP calculation (GGA-PBE) on an optimized crystal structure of SiGeC2.

Cell: 4.491 4.491 8.976 Å, 90.00 90.00 90.00°
Space group I-42d (No. 122)
Unique sites:
1 Si 0.000 0.000 0.000 x4
2 Ge 0.000 0.000 0.500 x4
3 C 0.232 0.250 0.125 x8

Calculated values
* energy relative to the lowest polymorph listed for this composition: 0 meV per atom
* formation energy (no corrections): 0.14 eV/atom
* electronic total energy: -111.70 eV/cell
* N(E_F): 0.0 states/eV/cell
* calculated density: 4.6 g cm⁻³